No. 1
Computed, not measured: Cs2K3H5 after structural relaxation at the PBE level of DFT.

Cell: 7.6172 7.6172 10.5253 Å, 123.94 123.94 32.16°
With the nearest neighbours (Å) after each atom.
Atoms (fractional coordinates):
Cs  0.1753  0.1753  0.2683  7 H 3.13-3.28
Cs  0.8247  0.8247  0.7317  7 H 3.13-3.28
K  0.0000  0.0000  0.5000  6 H 2.84-2.89
K  0.3870  0.3870  0.1232  5 H 2.63-2.81
K  0.6130  0.6130  0.8768  5 H 2.63-2.81
H  0.1941  0.1941  0.8140  4 K 2.68-2.84
H  0.4124  0.4124  0.5880  3 K 2.74-2.89
H  0.5000  0.5000  0.0000  2 K 2.63
H  0.5876  0.5876  0.4120  3 K 2.74-2.89
H  0.8059  0.8059  0.1860  4 K 2.68-2.84

- energy (eV/f.u.) = -23.58
- symmetry = C2/m, No. 12

No. 2
Computed, not measured: SnGeAs after structural relaxation at the PBE level of DFT.

Cell: 3.9237 3.9237 5.2482 Å, 90.00 90.00 120.00°
With the nearest neighbours (Å) after each atom.
Atoms (fractional coordinates):
Sn  0.0000  0.0000  0.0000  3 As 2.94, 3 Ge 3.00
Ge  0.3333  0.6667  0.6265  3 As 2.67
As  0.6667  0.3333  0.3581  3 Ge 2.67, 3 Sn 2.94

- energy (eV/f.u.) = -13.03
- symmetry = P3m1, No. 156
- energy above the most stable polymorph in this dataset (meV per atom) = 0.0

No. 3
Computed, not measured: Co2Pb3 after structural relaxation at the PBE level of DFT.

Cell: 3.4594 3.4594 31.1910 Å, 90.00 90.00 120.00°
With the nearest neighbours (Å) after each atom.
Atoms (fractional coordinates):
Co  0.0000  0.0000  0.1064  6 Pb 2.72-2.74
Co  0.0000  0.0000  0.8936  6 Pb 2.72-2.74
Co  0.3333  0.6667  0.5602  6 Pb 2.72-2.74
Co  0.3333  0.6667  0.7731  6 Pb 2.72-2.74
Co  0.6667  0.3333  0.2269  6 Pb 2.72-2.74
Co  0.6667  0.3333  0.4398  6 Pb 2.72-2.74
Pb  0.0000  0.0000  0.2863  3 Co 2.72
Pb  0.0000  0.0000  0.5000  6 Co 2.74
Pb  0.0000  0.0000  0.7137  3 Co 2.72
Pb  0.3333  0.6667  0.1667  6 Co 2.74
Pb  0.3333  0.6667  0.3804  3 Co 2.72
Pb  0.3333  0.6667  0.9530  3 Co 2.72
Pb  0.6667  0.3333  0.0470  3 Co 2.72
Pb  0.6667  0.3333  0.6196  3 Co 2.72
Pb  0.6667  0.3333  0.8333  6 Co 2.74

- energy (eV/f.u.) = -22.90
- symmetry = R-3m, No. 166